The following is a PBE calculation of an optimized crystal structure of BaNaLaPb, from Alexandria.

## Properties
ΔH_f (0 K) (eV/atom): -0.252
Total DFT energy (no corrections) (Ha/atom): -0.11838

a b c (Å): 8.3603 8.3603 8.3603
angles (deg): 90.00 90.00 90.00
Space group F-43m (No. 216)
One atom of each set of equivalent atoms:
1 Ba 0.0000 0.0000 0.0000
2 Na 0.2500 0.2500 0.7500
3 La 0.0000 0.0000 0.5000
4 Pb 0.2500 0.2500 0.2500